Model a:
A relaxed structure of BaTlIn2. Source: Alexandria via LeMat-Bulk, functional PBE-GGA.

Calculated volume in Å³/cell: 134.7

a b c (Å): 5.0594 3.8947 6.9229
angles (deg): 80.78 90.00 90.00
Fractional positions:
Ba 0.5000 0.7244 0.7767
In 0.0000 0.1360 0.0216
In 0.5000 0.1407 0.2634
Tl 0.0000 0.4989 0.4383

Model b:
A relaxed structure of BaTlIn2. Source: Alexandria via LeMat-Bulk, functional PBE-GGA.

Calculated volume in Å³/cell: 136.3

a b c (Å): 5.0697 5.0697 6.7925
angles (deg): 68.06 68.06 59.90
Fractional positions:
Tl 0.5229 0.5229 0.4321
Ba 0.7477 0.7477 0.7570
In 0.9701 0.9701 0.0892
In 0.2593 0.2593 0.2217

Model c:
A relaxed structure of BaTlIn2. Source: Alexandria via LeMat-Bulk, functional PBE-GGA.

Calculated volume in Å³/cell: 128.9

a b c (Å): 5.7037 5.7038 5.6726
angles (deg): 120.50 120.76 89.23
Fractional positions:
Tl 0.4994 0.4994 0.0000
Ba 0.2500 0.7500 0.5000
In 0.0007 0.0007 0.0000
In 0.7499 0.2499 0.5000

Quick one: most stable of them? model b

Model a:
A relaxed structure of BaTlIn2. Source: Alexandria via LeMat-Bulk, functional PBE-GGA.

Calculated volume in Å³/cell: 131.4

a b c (Å): 6.1444 6.1444 6.1444
angles (deg): 130.40 130.44 72.74
Fractional positions:
Ba 0.2500 0.7500 0.5000
In 0.0000 0.0000 0.0000
In 0.5000 0.5000 0.0000
Tl 0.7500 0.2500 0.5000

Model b:
A relaxed structure of BaTlIn2. Source: Alexandria via LeMat-Bulk, functional PBE-GGA.

Calculated volume in Å³/cell: 137.6

a b c (Å): 4.0095 6.3380 6.3380
angles (deg): 121.34 90.00 90.00
Fractional positions:
Ba 0.0000 0.9450 0.0550
Tl 0.5000 0.4450 0.5550
In 0.5000 0.9450 0.5550
In 0.5000 0.4450 0.0550

Model c:
A relaxed structure of BaTlIn2. Source: Alexandria via LeMat-Bulk, functional PBE-GGA.

Calculated volume in Å³/cell: 132.5

a b c (Å): 11.3324 11.3324 11.3324
angles (deg): 18.83 18.83 18.83
Fractional positions:
Ba 0.7500 0.7500 0.7500
In 0.9950 0.9950 0.9950
In 0.5050 0.5050 0.5050
Tl 0.2500 0.2500 0.2500

Quick one: most stable of them? model a

Model a:
A relaxed structure of BaTlIn3. Source: Alexandria via LeMat-Bulk, functional PBE-GGA.

Calculated volume in Å³/cell: 161.4

a b c (Å): 5.1756 5.1756 7.0487
angles (deg): 68.46 68.46 90.00
Fractional positions:
Ba 0.0000 0.0000 0.0000
Tl 0.7500 0.2500 0.5000
In 0.3809 0.3809 0.2382
In 0.6191 0.6191 0.7618
In 0.2500 0.7500 0.5000

Model b:
A relaxed structure of BaTlIn3. Source: Alexandria via LeMat-Bulk, functional PBE-GGA.

Calculated volume in Å³/cell: 338.3

a b c (Å): 6.8988 7.5268 7.5259
angles (deg): 120.04 89.99 90.02
Fractional positions:
Ba 0.7499 0.6666 0.3336
Ba 0.2501 0.3334 0.6665
Tl 0.0000 0.0000 0.0000
Tl 0.5000 0.0000 0.0000
In 0.7501 0.6015 0.8010
In 0.2499 0.8010 0.6015
In 0.2499 0.3985 0.1990
In 0.7501 0.1990 0.3985
In 0.2499 0.8007 0.1992
In 0.7501 0.1993 0.8008

Model c:
A relaxed structure of BaTlIn3. Source: Alexandria via LeMat-Bulk, functional PBE-GGA.

Calculated volume in Å³/cell: 160.2

a b c (Å): 5.0460 5.0433 7.2522
angles (deg): 69.49 69.48 90.11
Fractional positions:
Ba 0.4036 0.2072 0.8978
Tl 0.0149 0.8183 0.6751
In 0.6537 0.9560 0.3992
In 0.1526 0.4571 0.3991
In 0.7829 0.5866 0.1399

Quick one: most stable of them? model a

Model a:
A relaxed structure of BaTlIn3. Source: Alexandria via LeMat-Bulk, functional PBE-GGA.

Calculated volume in Å³/cell: 195.0

a b c (Å): 5.7989 5.7989 5.7989
angles (deg): 90.00 90.00 90.00
Fractional positions:
Tl 0.0000 0.0000 0.0000
Ba 0.5000 0.5000 0.5000
In 0.0000 0.5000 0.0000
In 0.0000 0.0000 0.5000
In 0.5000 0.0000 0.0000

Model b:
A relaxed structure of BaTlIn3. Source: Alexandria via LeMat-Bulk, functional PBE-GGA.

Calculated volume in Å³/cell: 263.9

a b c (Å): 6.4145 6.4145 6.4145
angles (deg): 90.00 90.00 90.00
Fractional positions:
Tl 0.5000 0.5000 0.5000
Ba 0.0000 0.0000 0.0000
In 0.0000 0.5000 0.0000
In 0.0000 0.0000 0.5000
In 0.5000 0.0000 0.0000

Quick one: most stable of them? model a

Model a:
A relaxed structure of BaTl4In4. Source: Alexandria via LeMat-Bulk, functional PBE-GGA.

Calculated volume in Å³/cell: 275.3

a b c (Å): 5.1520 7.7511 7.7511
angles (deg): 83.66 70.59 70.59
Fractional positions:
Ba 0.0000 0.0000 0.0000
Tl 0.3215 0.3570 0.9999
Tl 0.6785 0.6430 0.0001
Tl 0.6786 0.9999 0.6430
Tl 0.3214 0.0001 0.3570
In 0.0000 0.6486 0.3513
In 0.0000 0.3514 0.6487
In 0.6486 0.3513 0.3514
In 0.3514 0.6487 0.6486

Model b:
A relaxed structure of BaTl4In4. Source: Alexandria via LeMat-Bulk, functional PBE-GGA.

Calculated volume in Å³/cell: 587.6

a b c (Å): 7.2064 7.2064 11.3137
angles (deg): 90.00 90.00 90.00
Fractional positions:
Ba 0.0000 0.0000 0.0000
Ba 0.5000 0.5000 0.5000
Tl 0.2231 0.5000 0.9160
Tl 0.7769 0.5000 0.9160
Tl 0.5000 0.7769 0.0840
Tl 0.5000 0.2231 0.0840
Tl 0.0000 0.7231 0.4160
Tl 0.0000 0.2769 0.4160
Tl 0.2769 0.0000 0.5840
Tl 0.7231 0.0000 0.5840
In 0.5000 0.7852 0.7982
In 0.5000 0.2148 0.7982
In 0.7852 0.5000 0.2018
In 0.2148 0.5000 0.2018
In 0.2852 0.0000 0.2982
In 0.7148 0.0000 0.2982
In 0.0000 0.2852 0.7018
In 0.0000 0.7148 0.7018

Quick one: most stable of them? model a

Model a:
A relaxed structure of Ba2TlIn2. Source: Alexandria via LeMat-Bulk, functional PBE-GGA.

Calculated volume in Å³/cell: 364.5

a b c (Å): 5.4765 6.9127 11.3733
angles (deg): 110.82 90.00 113.34
Fractional positions:
Ba 0.6723 0.3446 0.0550
Ba 0.3992 0.7983 0.6214
Ba 0.3277 0.6554 0.9450
Ba 0.6008 0.2017 0.3786
Tl 0.2805 0.5611 0.2654
Tl 0.7195 0.4389 0.7346
In 0.9899 0.9799 0.8577
In 0.9019 0.8037 0.3720
In 0.0101 0.0201 0.1423
In 0.0981 0.1963 0.6280

Model b:
A relaxed structure of Ba2TlIn2. Source: Alexandria via LeMat-Bulk, functional PBE-GGA.

Calculated volume in Å³/cell: 374.9

a b c (Å): 8.2011 8.2011 5.5742
angles (deg): 90.00 90.00 90.00
Fractional positions:
Tl 0.0000 0.0000 0.0000
Tl 0.5000 0.5000 0.0000
Ba 0.1757 0.6757 0.5000
Ba 0.6757 0.8243 0.5000
Ba 0.8243 0.3243 0.5000
Ba 0.3243 0.1757 0.5000
In 0.3706 0.8706 0.0000
In 0.8706 0.6294 0.0000
In 0.6294 0.1294 0.0000
In 0.1294 0.3706 0.0000

Model c:
A relaxed structure of Ba2TlIn2. Source: Alexandria via LeMat-Bulk, functional PBE-GGA.

Calculated volume in Å³/cell: 397.5

a b c (Å): 10.1254 10.1254 3.8772
angles (deg): 90.00 90.00 90.00
Fractional positions:
Tl 0.0000 0.0000 0.0000
Tl 0.5000 0.5000 0.0000
Ba 0.3118 0.8118 0.0000
Ba 0.8118 0.6882 0.0000
Ba 0.6882 0.1882 0.0000
Ba 0.1882 0.3118 0.0000
In 0.1068 0.6068 0.5000
In 0.6068 0.8932 0.5000
In 0.8932 0.3932 0.5000
In 0.3932 0.1068 0.5000

Quick one: most stable of them? model a

Model a:
A relaxed structure of Ba2TlIn2. Source: Alexandria via LeMat-Bulk, functional PBE-GGA.

Calculated volume in Å³/cell: 213.9

a b c (Å): 6.9116 6.9116 6.6277
angles (deg): 58.57 58.57 90.00
Fractional positions:
Tl 0.0000 0.0000 0.0000
Ba 0.7500 0.2500 0.5000
Ba 0.2500 0.7500 0.5000
In 0.3450 0.3450 0.3100
In 0.6550 0.6550 0.6900

Model b:
A relaxed structure of Ba2TlIn2. Source: Alexandria via LeMat-Bulk, functional PBE-GGA.

Calculated volume in Å³/cell: 374.2

a b c (Å): 5.2547 6.8368 11.5866
angles (deg): 86.18 76.89 67.40
Fractional positions:
Ba 0.6803 0.3077 0.3317
Ba 0.9200 0.2699 0.8901
Ba 0.3197 0.6923 0.6683
Ba 0.0800 0.7301 0.1099
Tl 0.6251 0.0945 0.6553
Tl 0.3749 0.9055 0.3447
In 0.0892 0.2706 0.5509
In 0.6289 0.8495 0.8928
In 0.9108 0.7294 0.4491
In 0.3711 0.1505 0.1072

Quick one: most stable of them? model b

Model a:
A relaxed structure of BaTl4In. Source: Alexandria via LeMat-Bulk, functional PBE-GGA.

Calculated volume in Å³/cell: 197.8

a b c (Å): 5.9916 6.6454 6.2606
angles (deg): 57.94 79.26 69.44
Fractional positions:
Ba 0.5000 0.5000 0.0000
Tl 0.0000 0.3063 0.3874
Tl 0.5000 0.1599 0.6802
Tl 0.0000 0.6937 0.6126
Tl 0.5000 0.8401 0.3198
In 0.0000 0.0000 0.0000

Model b:
A relaxed structure of BaTl4In. Source: Alexandria via LeMat-Bulk, functional PBE-GGA.

Calculated volume in Å³/cell: 417.8

a b c (Å): 5.7890 8.1694 9.2958
angles (deg): 90.00 108.14 90.00
Fractional positions:
Ba 0.3854 0.7500 0.7708
Ba 0.6146 0.2500 0.2292
Tl 0.2330 0.4331 0.4661
Tl 0.7670 0.5669 0.5339
Tl 0.2330 0.0669 0.4661
Tl 0.7670 0.9331 0.5339
Tl 0.5842 0.7500 0.1685
Tl 0.4158 0.2500 0.8315
Tl 0.0000 0.5000 0.0000
Tl 0.0000 0.0000 0.0000
In 0.1425 0.7500 0.2850
In 0.8575 0.2500 0.7150

Quick one: most stable of them? model a

Model a:
A relaxed structure of Ba2Tl5In3. Source: Alexandria via LeMat-Bulk, functional PBE-GGA.

Calculated volume in Å³/cell: 669.2

a b c (Å): 7.3801 10.2767 10.2767
angles (deg): 73.98 68.96 68.96
Fractional positions:
Ba 0.1266 0.6182 0.1286
Ba 0.6266 0.1286 0.6182
Ba 0.8734 0.3818 0.8714
Ba 0.3734 0.8714 0.3818
Tl 0.3826 0.2570 0.9777
Tl 0.8826 0.9777 0.2570
Tl 0.6174 0.7430 0.0223
Tl 0.1174 0.0223 0.7430
Tl 0.4939 0.7561 0.7561
Tl 0.5061 0.2439 0.2439
Tl 0.7500 0.5000 0.5000
Tl 0.2500 0.5000 0.5000
Tl 0.0061 0.2439 0.2439
Tl 0.9939 0.7561 0.7561
In 0.3726 0.5012 0.7537
In 0.8726 0.7537 0.5012
In 0.6274 0.4988 0.2463
In 0.1274 0.2463 0.4988
In 0.2500 0.0000 0.0000
In 0.7500 0.0000 0.0000

Model b:
A relaxed structure of Ba2Tl5In3. Source: Alexandria via LeMat-Bulk, functional PBE-GGA.

Calculated volume in Å³/cell: 336.5

a b c (Å): 5.2523 5.2523 12.1985
angles (deg): 90.00 90.00 90.00
Fractional positions:
Ba 0.5000 0.0000 0.2583
Ba 0.0000 0.5000 0.7417
Tl 0.5000 0.5000 0.0000
Tl 0.0000 0.0000 0.0000
Tl 0.5000 0.0000 0.8632
Tl 0.0000 0.5000 0.1368
Tl 0.5000 0.5000 0.5000
In 0.5000 0.0000 0.6245
In 0.0000 0.5000 0.3755
In 0.0000 0.0000 0.5000

Quick one: most stable of them? model b

Model a:
A relaxed structure of Ba8Tl2In. Source: Alexandria via LeMat-Bulk, functional PBE-GGA.

Calculated volume in Å³/cell: 508.4

a b c (Å): 5.9339 9.7395 10.4840
angles (deg): 117.68 106.44 90.00
Fractional positions:
Ba 0.6590 0.8795 0.3180
Ba 0.3410 0.5616 0.6820
Ba 0.1399 0.1399 0.2799
Ba 0.0000 0.3166 0.0000
Ba 0.8601 0.8601 0.7201
Ba 0.6590 0.4384 0.3180
Ba 0.3410 0.1205 0.6820
Ba 0.0000 0.6834 0.0000
Tl 0.1891 0.6892 0.3783
Tl 0.8109 0.3108 0.6217
In 0.5000 0.0000 0.0000

Model b:
A relaxed structure of Ba8Tl2In. Source: Alexandria via LeMat-Bulk, functional PBE-GGA.

Calculated volume in Å³/cell: 526.5

a b c (Å): 6.1425 8.5262 11.0926
angles (deg): 108.63 106.07 90.00
Fractional positions:
Ba 0.4024 0.5550 0.8047
Ba 0.6666 0.9580 0.3331
Ba 0.8008 0.6980 0.6016
Ba 0.9707 0.2099 0.9413
Ba 0.1992 0.3020 0.3984
Ba 0.3334 0.0420 0.6669
Ba 0.5976 0.4450 0.1953
Ba 0.0293 0.7901 0.0587
Tl 0.8166 0.3026 0.6332
Tl 0.1834 0.6974 0.3668
In 0.5000 0.0000 0.0000

Quick one: most stable of them? model b